Density functional theory data (PBE with a Hubbard U) for crystalline NaNiSO4 at its relaxed geometry.

Lattice parameters (Å, degrees): 5.355 5.691 6.139 90.00 105.89 90.00
Sites, in units of the cell vectors:
Na1 0.211 0.250 0.432
Na2 0.789 0.750 0.568
Ni1 0.286 0.250 0.959
Ni2 0.714 0.750 0.041
S1 0.246 0.750 0.185
S2 0.754 0.250 0.815
O1 0.075 0.750 0.341
O2 0.078 0.750 0.948
O3 0.422 0.539 0.229
O4 0.422 0.961 0.229
O5 0.578 0.039 0.771
O6 0.578 0.461 0.771
O7 0.922 0.250 0.052
O8 0.925 0.250 0.659

For the total magnetization, the calculation gives 0.143 μB/atom. The density of states at the Fermi level is 0.00 states/eV per cell. The crystal system is monoclinic. The total energy is -5.21 eV/atom. As for the space-group type: P2_1/m (11).